An optimized crystal structure of P2WAuO8. Source: Alexandria, functional GGA+U.

Results
Raw total energy   -165.8 eV for the cell shown

Cell: 8.8692 5.3262 8.7012 Å, 90.00 103.96 90.00°
Last column: nearest neighbours and their distance in Å.
Space group C2/m (No. 12)
Inequivalent atoms, fractional coordinates:
P 0.1984 0.0000 0.1939  4 O 1.50-1.56
W 0.0000 0.5000 0.0000  6 O 1.98-2.00
Au 0.0000 0.5000 0.5000  2 O 2.03
O 0.0893 0.2336 0.1543  1 P 1.56
O 0.1949 0.5000 0.9236  1 P 1.55
O 0.2225 0.5000 0.6327  1 P 1.50